[1]
Sr2Tb4Sn3O2: optimized geometry, GGA-PBE.

extended XYZ file:
```
11
Lattice="-2.391 2.391 12.930 2.391 -2.391 12.930 2.391 2.391 -12.930" Properties=species:S:1:pos:R:3 pbc="T T T"
Sr 0.000 0.000 5.075
Sr 0.000 0.000 20.785
Tb 2.391 0.000 2.140
Tb 2.391 0.000 10.791
Tb 0.000 2.391 2.140
Tb 0.000 2.391 10.791
Sn 0.000 0.000 8.605
Sn 0.000 0.000 12.930
Sn 0.000 0.000 17.255
O 0.000 0.000 2.344
O 0.000 0.000 23.516
```

## Properties
D(E_F) = 2.181 states/eV/cell
SG = No. 139
raw total energy = -5.515 eV/atom

---

[2]
Li2In2Hg5: optimized geometry, GGA-PBE.

extended XYZ file:
```
18
Lattice="7.943 -3.710 0.000 7.943 3.710 0.000 0.000 0.000 7.255" Properties=species:S:1:pos:R:3 pbc="T T T"
Li 7.943 2.637 6.212
Li 7.943 1.072 2.585
Li 7.943 -1.072 4.670
Li 7.943 -2.637 1.043
In 3.359 0.000 3.628
In 4.584 0.000 0.000
In 11.301 0.000 0.000
In 12.526 0.000 3.628
Hg 0.000 0.000 3.628
Hg 5.999 2.536 1.110
Hg 5.999 1.174 4.738
Hg 9.886 2.536 1.110
Hg 9.886 1.174 4.738
Hg 7.943 0.000 0.000
Hg 5.999 -1.174 2.517
Hg 5.999 -2.536 6.145
Hg 9.886 -1.174 2.517
Hg 9.886 -2.536 6.145
```

## Properties
distance to the lowest polymorph of the same formula = 5.1 meV per atom
D(E_F) = 6.276 states/eV/cell
SG = No. 64
raw total energy = -1.328 eV/atom
formation energy from the elements = -127 meV/atom

---

[3]
CaZr2Si2: optimized geometry, GGA-PBE.

extended XYZ file:
```
10
Lattice="8.215 0.000 0.000 0.000 8.215 0.000 0.000 0.000 3.033" Properties=species:S:1:pos:R:3 pbc="T T T"
Ca 0.000 0.000 0.000
Ca 4.108 4.108 0.000
Zr 1.023 3.085 0.000
Zr 3.085 7.192 0.000
Zr 5.131 1.023 0.000
Zr 7.192 5.131 0.000
Si 1.402 5.510 1.517
Si 2.705 1.402 1.517
Si 5.510 6.813 1.517
Si 6.813 2.705 1.517
```

## Properties
distance to the lowest polymorph of the same formula = 206.2 meV per atom
D(E_F) = 11.143 states/eV/cell
SG = No. 127
raw total energy = -6.326 eV/atom

---

[4]
RbFe2NiBr: optimized geometry, GGA-PBE.

extended XYZ file:
```
5
Lattice="4.573 0.000 0.000 0.000 4.573 0.000 0.000 0.000 6.221" Properties=species:S:1:pos:R:3 pbc="T T T"
Rb 0.000 0.000 0.000
Fe 0.000 2.286 3.110
Fe 2.286 0.000 3.110
Ni 2.286 2.286 3.110
Br 2.286 2.286 0.000
```

## Properties
D(E_F) = 6.191 states/eV/cell
SG = No. 123
raw total energy = -4.448 eV/atom

---

[5]
NdSb2Pd5Pb: optimized geometry, GGA-PBE.

extended XYZ file:
```
9
Lattice="4.606 0.000 0.000 0.000 4.606 0.000 0.000 0.000 8.783" Properties=species:S:1:pos:R:3 pbc="T T T"
Nd 0.000 0.000 0.000
Sb 2.303 2.303 1.428
Sb 2.303 2.303 7.355
Pd 0.000 2.303 2.649
Pd 0.000 2.303 6.134
Pd 2.303 0.000 2.649
Pd 2.303 0.000 6.134
Pd 2.303 2.303 4.392
Pb 0.000 0.000 4.392
```

## Properties
D(E_F) = 4.796 states/eV/cell
SG = No. 123
raw total energy = -5.282 eV/atom

---

[6]
TaVW6: optimized geometry, GGA-PBE.

extended XYZ file:
```
8
Lattice="3.593 2.075 2.928 -3.593 2.075 2.928 0.000 -4.149 2.928" Properties=species:S:1:pos:R:3 pbc="T T T"
Ta 0.000 0.000 0.000
V 0.000 0.000 4.392
W -0.906 -1.550 2.204
W 0.906 1.550 6.579
W -0.890 1.560 2.204
W 1.796 -0.010 2.204
W -1.796 0.010 6.579
W 0.890 -1.560 6.579
```

## Properties
distance to the lowest polymorph of the same formula = 179.0 meV per atom
D(E_F) = 6.540 states/eV/cell
SG = No. 148
raw total energy = -12.243 eV/atom
formation energy from the elements = 93 meV/atom

---

[7]
Fe2SnAs2: optimized geometry, GGA-PBE.

extended XYZ file:
```
5
Lattice="-1.910 1.910 5.757 1.910 -1.910 5.757 1.910 1.910 -5.757" Properties=species:S:1:pos:R:3 pbc="T T T"
Fe 0.000 0.000 1.280
Fe 0.000 0.000 10.235
Sn 0.000 0.000 5.757
As 1.910 0.000 2.879
As 0.000 1.910 2.879
```

## Properties
distance to the lowest polymorph of the same formula = 137.4 meV per atom
D(E_F) = 5.336 states/eV/cell
SG = No. 139
raw total energy = -5.853 eV/atom
formation energy from the elements = 193 meV/atom

---

[8]
NaCF6: optimized geometry, GGA-PBE.

extended XYZ file:
```
8
Lattice="4.964 0.000 0.000 2.477 4.308 0.000 2.470 1.433 4.443" Properties=species:S:1:pos:R:3 pbc="T T T"
Na 0.000 0.000 0.000
C 4.955 2.871 2.221
F 4.213 3.899 3.115
F 3.698 2.742 1.324
F 4.434 1.715 3.118
F 5.477 4.026 1.325
F 6.213 2.999 3.119
F 5.697 1.842 1.328
```

## Properties
D(E_F) = 9.707 states/eV/cell
SG = No. 2
raw total energy = -3.952 eV/atom

---

Among the records above, which one has the highest raw total energy?
Li2In2Hg5

---

What did the seventh record say?
Fe2SnAs2: optimized geometry, GGA-PBE.

extended XYZ file:
```
5
Lattice="-1.910 1.910 5.757 1.910 -1.910 5.757 1.910 1.910 -5.757" Properties=species:S:1:pos:R:3 pbc="T T T"
Fe 0.000 0.000 1.280
Fe 0.000 0.000 10.235
Sn 0.000 0.000 5.757
As 1.910 0.000 2.879
As 0.000 1.910 2.879
```

## Properties
distance to the lowest polymorph of the same formula = 137.4 meV per atom
D(E_F) = 5.336 states/eV/cell
SG = No. 139
raw total energy = -5.853 eV/atom
formation energy from the elements = 193 meV/atom